Ac8IrPt3I4: optimized geometry, PBE-GGA.

The space group is C2/m (No. 12) and the conventional cell measures 15.4452, 8.9194 and 10.0569 Å, with angles of 90.00, 120.88 and 90.00 degrees. Symmetry generates all atoms from Ac at (0.0199, 0.2456, 0.3147), Ac at (0.2257, 0.0000, 0.6853), Ac at (0.2287, 0.5000, 0.6857), Ir at (0.0000, 0.0000, 0.5000), Pt at (0.0000, 0.5000, 0.5000), Pt at (0.2500, 0.2500, 0.5000), I at (0.0000, 0.0000, 0.0000), I at (0.0000, 0.5000, 0.0000) and I at (0.2500, 0.2500, 0.0000).

As for the electronic total energy: -5.32 eV/atom. Its magnetization is 0.00 μB/cell.